An optimized crystal structure of Ba11TlRh2, computed with PBE-GGA.

Computed properties:
As for the space group: Ibam.

Geometry as POSCAR:
```
Ba11TlRh2
1.0
12.383 0.000 6.455
5.794 10.730 3.991
1.217 -0.156 12.771
Ba Rh Tl
22 4 2
Cartesian
5.346 6.217 11.485 Ba
11.310 9.817 11.419 Ba
2.071 1.181 8.227 Ba
17.323 9.392 14.989 Ba
14.048 4.357 11.732 Ba
12.831 4.374 17.795 Ba
8.401 1.805 5.625 Ba
6.563 6.199 5.421 Ba
12.658 7.092 14.398 Ba
10.690 2.873 14.601 Ba
6.736 3.481 8.819 Ba
4.239 2.257 11.871 Ba
15.155 8.316 11.346 Ba
12.933 6.624 8.306 Ba
8.704 7.700 8.615 Ba
2.593 0.930 3.496 Ba
6.461 3.949 14.911 Ba
0.000 0.000 0.000 Ba
10.993 8.768 17.591 Ba
8.084 0.756 11.798 Ba
9.697 5.287 11.608 Ba
16.801 9.643 19.721 Ba
7.199 9.060 6.436 Rh
12.506 6.956 11.360 Rh
6.888 3.617 11.857 Rh
12.195 1.513 16.781 Rh
14.545 7.930 17.413 Tl
4.848 2.643 5.804 Tl
```

---

An optimized crystal structure of BaTlRh4, computed with PBE-GGA.

Computed properties:
As for the space group: F-43m.

Geometry as POSCAR:
```
BaTlRh4
1.0
0.000 3.887 3.887
3.887 0.000 3.887
3.887 3.887 0.000
Ba Rh Tl
1 4 1
Cartesian
0.000 0.000 0.000 Ba
4.850 2.923 4.850 Rh
2.923 2.923 2.923 Rh
4.850 4.850 2.923 Rh
2.923 4.850 4.850 Rh
5.830 5.830 5.830 Tl
```

---

An optimized crystal structure of Ba8TlRh2, computed with PBE-GGA.

Computed properties:
The energy above the most stable polymorph in this dataset comes out at 0.000 eV per atom. As for the space group: C2/m.

Geometry as POSCAR:
```
Ba8TlRh2
1.0
-3.356 5.267 -0.484
-5.286 -3.367 7.450
5.553 3.515 7.183
Rh Ba Tl
2 8 1
Cartesian
-0.590 1.026 2.485 Rh
-2.499 4.389 11.665 Rh
-2.267 3.661 2.328 Ba
0.468 6.013 4.984 Ba
2.374 3.168 9.020 Ba
-5.463 2.246 5.130 Ba
-2.380 4.084 8.623 Ba
-0.822 1.753 11.821 Ba
-3.558 -0.598 9.166 Ba
-0.709 1.331 5.526 Ba
0.000 0.000 0.000 Tl
```

---

An optimized crystal structure of Ba2Tl5Rh, computed with PBE-GGA.

Computed properties:
As for the space group: I4mm.

Geometry as POSCAR:
```
Ba2Tl5Rh
1.0
6.677 0.000 0.000
0.000 6.678 0.000
-3.339 -3.339 6.298
Ba Tl Rh
2 5 1
Cartesian
3.339 0.000 3.654 Ba
0.000 3.339 3.654 Ba
1.685 1.685 0.292 Tl
4.993 4.993 0.292 Tl
4.993 1.685 0.293 Tl
1.685 4.993 0.293 Tl
3.339 3.339 2.452 Tl
3.338 3.338 5.153 Rh
```

---

An optimized crystal structure of BaTl4Rh, computed with PBE-GGA.

Computed properties:
As for the space group: F-43m.

Geometry as POSCAR:
```
BaTl4Rh
1.0
0.416 -6.278 0.165
3.311 -2.816 4.553
-2.970 -3.233 4.511
Tl Rh Ba
4 1 1
Cartesian
0.283 -4.606 3.448 Tl
1.956 -6.029 5.749 Tl
0.493 -7.779 3.532 Tl
-1.218 -6.240 5.728 Tl
0.000 0.000 0.000 Rh
0.567 -9.245 6.922 Ba
```

---

An optimized crystal structure of Ba4TlRh, computed with PBE-GGA.

Computed properties:
The energy above the most stable polymorph in this dataset comes out at 0.892 eV per atom. As for the space group: F-43m.

Geometry as POSCAR:
```
Ba4TlRh
1.0
-3.636 -5.105 -3.098
-5.005 1.580 -4.618
0.959 -1.349 -6.792
Ba Tl Rh
4 1 1
Cartesian
-2.408 -2.501 -8.829 Ba
-4.694 -4.370 -6.991 Ba
-2.885 -1.831 -5.450 Ba
-5.375 -1.044 -7.747 Ba
0.000 0.000 0.000 Tl
-5.761 -3.655 -10.881 Rh
```

---

An optimized crystal structure of Ba8Tl2Rh, computed with PBE-GGA.

Computed properties:
The energy above the most stable polymorph in this dataset comes out at 0.000 eV per atom. As for the space group: C2/m.

Geometry as POSCAR:
```
Ba8Tl2Rh
1.0
4.490 0.000 -1.129
0.005 9.540 0.021
0.868 0.334 12.947
Ba Rh Tl
8 1 2
Cartesian
3.873 7.046 5.910 Ba
2.370 9.755 9.426 Ba
2.994 0.119 2.413 Ba
1.491 2.828 5.929 Ba
5.304 2.392 11.600 Ba
0.060 7.482 0.239 Ba
2.458 5.200 9.774 Ba
2.906 4.674 2.065 Ba
2.245 0.000 -0.565 Rh
4.381 2.839 7.930 Tl
0.983 7.035 3.909 Tl
```

---

An optimized crystal structure of BaTlRh3, computed with PBE-GGA.

Computed properties:
The energy above the most stable polymorph in this dataset comes out at 0.000 eV per atom. As for the space group: Pm-3m.

Geometry as POSCAR:
```
BaTlRh3
1.0
-2.408 4.466 -0.404
-4.117 -2.020 2.208
1.777 1.372 4.568
Rh Ba Tl
3 1 1
Cartesian
-2.059 -1.010 1.104 Rh
-1.204 2.233 -0.202 Rh
0.889 0.686 2.284 Rh
-2.374 1.909 3.186 Ba
0.000 0.000 0.000 Tl
```

---

An optimized crystal structure of Ba3Tl2Rh, computed with PBE-GGA.

Computed properties:
As for the space group: C2/c.

Geometry as POSCAR:
```
Ba3Tl2Rh
1.0
7.447 0.500 1.624
0.149 7.462 1.624
0.273 0.287 8.648
Ba Rh Tl
6 2 4
Cartesian
1.977 0.873 5.031 Ba
4.653 3.575 8.110 Ba
0.642 1.873 0.707 Ba
7.227 6.376 11.189 Ba
5.892 7.376 6.865 Ba
3.215 4.673 3.786 Ba
2.425 5.701 8.110 Rh
5.443 2.548 3.786 Rh
7.101 3.946 5.422 Tl
4.126 0.827 2.150 Tl
3.743 7.422 9.746 Tl
0.768 4.303 6.474 Tl
```

---

An optimized crystal structure of BaTl3Rh, computed with PBE-GGA.

Computed properties:
The energy above the most stable polymorph in this dataset comes out at 0.002 eV per atom. As for the space group: P6_3/mmc.

Geometry as POSCAR:
```
BaTl3Rh
1.0
-3.634 -4.799 0.417
3.269 -2.992 -5.935
2.631 -1.403 6.780
Tl Rh Ba
6 2 2
Cartesian
-1.185 -4.647 1.690 Tl
1.518 -6.660 2.077 Tl
0.021 -5.289 4.797 Tl
2.245 -3.904 -3.535 Tl
0.748 -2.534 -0.815 Tl
3.450 -4.547 -0.428 Tl
-1.817 -2.399 0.209 Rh
0.000 0.000 0.000 Rh
0.331 -6.061 -1.384 Ba
1.935 -3.132 2.646 Ba
```

---

An optimized crystal structure of Ba6TlRh, computed with PBE-GGA.

Computed properties:
The energy above the most stable polymorph in this dataset comes out at 0.000 eV per atom. As for the space group: C2/m.

Geometry as POSCAR:
```
Ba6TlRh
1.0
-6.101 -0.744 5.175
-4.407 -6.625 -2.755
1.492 -7.342 2.401
Rh Ba Tl
1 6 1
Cartesian
-5.254 -3.684 1.210 Rh
-4.338 -10.848 0.597 Ba
-5.567 -8.607 4.190 Ba
-4.678 -3.862 4.224 Ba
-7.688 -5.559 1.592 Ba
-2.820 -1.810 0.828 Ba
-3.448 -6.103 0.631 Ba
0.000 0.000 0.000 Tl
```

---

An optimized crystal structure of BaTl2Rh2, computed with PBE-GGA.

Computed properties:
The energy above the most stable polymorph in this dataset comes out at 0.156 eV per atom. As for the space group: P4/mbm.

Geometry as POSCAR:
```
BaTl2Rh2
1.0
-5.435 6.061 -1.342
-1.531 -3.038 -7.517
-2.410 -1.884 1.252
Rh Ba Tl
4 2 4
Cartesian
-3.193 -0.466 -6.845 Rh
-5.609 3.163 -6.036 Rh
-3.773 3.488 -2.014 Rh
-1.357 -0.140 -2.823 Rh
-3.483 1.511 -4.430 Ba
0.000 0.000 0.000 Ba
-3.373 0.807 -0.914 Tl
-6.425 3.174 -3.227 Tl
-6.004 0.332 -6.692 Tl
-2.952 -2.035 -4.380 Tl
```

---

| no. | energy of formation from the pure elements (eV/atom) | raw total energy (eV/cell) | magnetization (μB per cell) |
| --- | --- | --- | --- |
| 1 | -0.02 | -76.86 | 0.0 |
| 2 | 0.09 | -33.14 | 1.8 |
| 3 | -0.11 | -33.63 | 0.0 |
| 4 | -0.16 | -24.31 | 0.0 |
| 5 | 0.22 | -17.45 | 0.0 |
| 6 | 0.66 | -13.47 | 0.0 |
| 7 | -0.21 | -29.75 | 0.0 |
| 8 | 0.69 | -22.90 | 1.2 |
| 9 | -0.25 | -38.74 | 0.0 |
| 10 | -0.22 | -34.93 | 0.0 |
| 11 | -0.16 | -22.57 | 0.0 |
| 12 | -0.05 | -43.20 | 0.0 |